The following is a PBE+U calculation of a geometry-optimized FeOsWF2 structure, from Alexandria.

Structure (POSCAR):
```
FeOsWF2
1.0
4.064 0.000 0.000
0.000 4.064 0.000
0.000 0.000 5.083
Fe Os W F
1 1 1 2
Direct
0.000 0.000 0.000 Fe
0.000 0.000 0.500 Os
0.500 0.500 0.000 W
0.000 0.500 0.500 F
0.500 0.000 0.500 F
```

Results
Magnetic moment in μB/f.u.: 4.8
Crystal system: tetragonal
SG: P4/mmm
DFT total energy in eV per atom: -4.71